Entry 1:
{
  "formula": "HoSc4In",
  "functional": "GGA-PBE",
  "state": "relaxed",
  "lattice": [[2.818, -4.950, 0.000], [2.818, 4.950, 0.000], [-1.731, 0.000, 5.331]],
  "species": ["Ho", "Sc", "Sc", "Sc", "Sc", "In"],
  "frac_coords": [[0.000, 0.000, 0.000], [0.171, 0.829, 0.500], [0.335, 0.665, 0.000], [0.665, 0.335, 0.000], [0.829, 0.171, 0.500], [0.500, 0.500, 0.500]],
  "total_magnetization_mub_per_fu": 0.955,
  "total_energy_ev_per_fu": -33.20
}

Entry 2:
{
  "formula": "CaInMoPb2",
  "functional": "GGA-PBE",
  "state": "relaxed",
  "lattice": [[5.755, 0.000, 0.000], [0.000, 5.755, 0.000], [0.000, 0.000, 5.708]],
  "species": ["Ca", "In", "Mo", "Pb", "Pb"],
  "frac_coords": [[0.000, 0.000, 0.000], [0.000, 0.000, 0.500], [0.500, 0.500, 0.500], [0.000, 0.500, 0.000], [0.500, 0.000, 0.000]],
  "total_magnetization_mub_per_fu": 4.204,
  "total_energy_ev_per_fu": -16.15
}

Entry 3:
{
  "formula": "Nd3InCo3",
  "functional": "GGA-PBE",
  "state": "relaxed",
  "lattice": [[10.043, 0.000, 0.000], [-5.022, 8.698, 0.000], [0.000, 0.000, 3.848]],
  "species": ["Nd", "Nd", "Nd", "Nd", "Nd", "Nd", "In", "In", "Co", "Co", "Co", "Co", "Co", "Co"],
  "frac_coords": [[0.062, 0.687, 0.250], [0.313, 0.376, 0.250], [0.376, 0.062, 0.750], [0.624, 0.938, 0.250], [0.687, 0.624, 0.750], [0.938, 0.313, 0.750], [0.333, 0.667, 0.750], [0.667, 0.333, 0.250], [0.023, 0.871, 0.750], [0.129, 0.151, 0.750], [0.151, 0.023, 0.250], [0.849, 0.977, 0.750], [0.871, 0.849, 0.250], [0.977, 0.129, 0.250]],
  "total_magnetization_mub_per_fu": 2.647,
  "total_energy_ev_per_fu": -39.29
}

Entry 4:
{
  "formula": "CdHRh3",
  "functional": "GGA-PBE",
  "state": "relaxed",
  "lattice": [[0.000, 5.257, 5.257], [5.257, 0.000, 5.257], [5.257, 5.257, 0.000]],
  "species": ["Cd", "Cd", "Cd", "Cd", "H", "H", "H", "H", "Rh", "Rh", "Rh", "Rh", "Rh", "Rh", "Rh", "Rh", "Rh", "Rh", "Rh", "Rh"],
  "frac_coords": [[0.000, 0.000, 0.000], [0.000, 0.000, 0.500], [0.000, 0.500, 0.000], [0.500, 0.000, 0.000], [0.000, 0.500, 0.500], [0.500, 0.000, 0.500], [0.500, 0.500, 0.000], [0.500, 0.500, 0.500], [0.192, 0.192, 0.558], [0.192, 0.558, 0.192], [0.192, 0.558, 0.558], [0.442, 0.442, 0.808], [0.442, 0.808, 0.442], [0.442, 0.808, 0.808], [0.558, 0.192, 0.192], [0.558, 0.192, 0.558], [0.558, 0.558, 0.192], [0.808, 0.442, 0.442], [0.808, 0.442, 0.808], [0.808, 0.808, 0.442]],
  "total_magnetization_mub_per_fu": 0.000,
  "total_energy_ev_per_fu": -25.54
}

Entry 5:
{
  "formula": "DyPdI2",
  "functional": "GGA-PBE",
  "state": "relaxed",
  "lattice": [[1.987, 1.147, 9.328], [-1.987, 1.147, 9.328], [0.000, -2.295, 9.328]],
  "species": ["Dy", "Pd", "I", "I"],
  "frac_coords": [[0.000, 0.000, 0.000], [0.500, 0.500, 0.500], [0.407, 0.407, 0.407], [0.593, 0.593, 0.593]],
  "formation_energy_uncorrected_kj_per_mol_fu": -187,
  "total_magnetization_mub_per_fu": 0.000
}

Entry 6:
{
  "formula": "TlSb2Cl",
  "functional": "GGA-PBE",
  "state": "relaxed",
  "lattice": [[3.376, 0.000, 0.000], [0.000, 4.146, 0.000], [-1.619, 0.000, 9.096]],
  "species": ["Tl", "Sb", "Sb", "Cl"],
  "frac_coords": [[0.000, 0.000, 0.000], [0.249, 0.000, 0.465], [0.354, 0.500, 0.684], [0.580, 0.500, 0.163]],
  "formation_energy_uncorrected_kj_per_mol_fu": -129,
  "total_magnetization_mub_per_fu": 0.000
}